Entry 1:
LaTiAgO4 after structural relaxation. Source: Alexandria, functional GGA-PBE.

The structure belongs to space group P4/nmm (No. 129, origin choice 2); the cell edges are 3.738, 3.738 and 13.751 Å and the angles 90.00°, 90.00° and 90.00°. The distinct sites, in fractional coordinates, are La at (0.250, 0.250, 0.106), Ti at (0.250, 0.250, 0.729), Ag at (0.250, 0.250, 0.428), O at (0.250, 0.250, 0.599), O at (0.250, 0.250, 0.933) and O at (0.250, 0.750, 0.231).

Its uncorrected formation energy is -246 kJ per mole of atoms. The value obtained for the total magnetization is 0.00 μB per atom. The crystal system is tetragonal.

=====

Entry 2:
V3GaFe after structural relaxation. Source: Alexandria, functional GGA-PBE.

The structure belongs to space group Pm-3m (No. 221); the cell edges are 4.288, 4.288 and 4.288 Å and the angles 90.00°, 90.00° and 90.00°. The distinct sites, in fractional coordinates, are V at (0.000, 0.000, 0.500), Ga at (0.500, 0.500, 0.500) and Fe at (0.000, 0.000, 0.000).

The value obtained for the formation energy is 0.572 eV/atom. For the relative energy among the computed polymorphs, the calculation gives 0.531 eV per atom. The density of states at the Fermi level comes out at 0.957 states/eV per atom. The value obtained for the total magnetization is 0.00 μB per atom. The crystal system is cubic.

=====

Entry 3:
LaH3O after structural relaxation. Source: Alexandria, functional GGA-PBE.

The structure belongs to space group Pm-3m (No. 221); the cell edges are 3.630, 3.630 and 3.630 Å and the angles 90.00°, 90.00° and 90.00°. The distinct sites, in fractional coordinates, are La at (0.000, 0.000, 0.000), H at (0.000, 0.500, 0.500) and O at (0.500, 0.500, 0.500).

For the relative energy among the computed polymorphs, the calculation gives 0.000 eV per atom. The density of states at the Fermi level comes out at 0.386 states/eV per atom. The value obtained for the total magnetization is 0.00 μB per atom. The crystal system is cubic.

=====

Entry 4:
CdGa3Rh4 after structural relaxation. Source: Alexandria, functional GGA-PBE.

The structure belongs to space group R-3m (No. 166, hexagonal axes); the cell edges are 4.3531, 4.3531 and 21.4727 Å and the angles 90.00°, 90.00° and 120.00°. The distinct sites, in fractional coordinates, are Cd at (0.0000, 0.0000, 0.0000), Ga at (0.0000, 0.0000, 0.2515), Ga at (0.0000, 0.0000, 0.5000), Rh at (0.0000, 0.0000, 0.1301) and Rh at (0.0000, 0.0000, 0.3822).

The value obtained for the formation energy is -0.565 eV/atom. The density of states at the Fermi level comes out at 0.099 states/eV per atom. The value obtained for the total magnetization is 0.00 μB per atom. The crystal system is trigonal.